(1)
Entry from the Alexandria database: crystalline CdC5 at its relaxed geometry (GGA-PBE).

Results
* total magnetic moment: 0.000 μB per atom
* energy relative to the elements: 2227 meV/atom
* E: -5.6117 eV/atom
* symmetry: P4/mmm

Lattice parameters (Å, degrees): 2.5578 2.5578 8.3007 90.00 90.00 90.00
Fractional positions:
Cd (0.0000, 0.0000, 0.0000)
C (0.0000, 0.0000, 0.2783)
C (0.0000, 0.0000, 0.7217)
C (0.5000, 0.5000, 0.3358)
C (0.5000, 0.5000, 0.5000)
C (0.5000, 0.5000, 0.6642)

(2)
Entry from the Alexandria database: crystalline Cd5C3 at its relaxed geometry (GGA-PBE).

Results
* total magnetic moment: 0.000 μB per atom
* energy relative to the elements: 1558 meV/atom
* E: -2.4729 eV/atom
* symmetry: Cmmm

Lattice parameters (Å, degrees): 6.1732 6.1732 3.7098 90.00 90.00 109.20
Fractional positions:
Cd (0.0000, 0.0000, 0.0000)
Cd (0.0000, 0.5000, 0.0000)
Cd (0.3033, 0.3033, 0.5000)
Cd (0.5000, 0.0000, 0.0000)
Cd (0.6967, 0.6967, 0.5000)
C (0.1589, 0.8411, 0.5000)
C (0.5000, 0.5000, 0.0000)
C (0.8411, 0.1589, 0.5000)

(3)
Entry from the Alexandria database: crystalline CdC at its relaxed geometry (GGA-PBE).

Results
* total magnetic moment: 0.000 μB per atom
* energy relative to the elements: 2081 meV/atom
* E: -2.9884 eV/atom
* symmetry: Cmcm

Lattice parameters (Å, degrees): 5.1563 5.1563 3.6641 90.00 90.00 143.95
Fractional positions:
Cd (0.1256, 0.8744, 0.7500)
Cd (0.8744, 0.1256, 0.2500)
C (0.3804, 0.6196, 0.7500)
C (0.6196, 0.3804, 0.2500)

(4)
Entry from the Alexandria database: crystalline CdC5 at its relaxed geometry (GGA-PBE).

Results
* total magnetic moment: 0.003 μB per atom
* energy relative to the elements: 3094 meV/atom
* E: -4.7455 eV/atom
* symmetry: F-43m

Lattice parameters (Å, degrees): 4.4737 4.4737 4.4737 60.00 60.00 60.00
Fractional positions:
Cd (0.0000, 0.0000, 0.0000)
C (0.4126, 0.4126, 0.4126)
C (0.4126, 0.4126, 0.7623)
C (0.4126, 0.7623, 0.4126)
C (0.7500, 0.7500, 0.7500)
C (0.7623, 0.4126, 0.4126)